Li12Mg5Tl2 | PBE | optimized geometry

Calculated values
For the energy of formation, the calculation gives -0.09 eV/atom. The density of states at the Fermi level is 5.39 states/eV/f.u. Its polymorph energy (0 for the lowest one) is 0 meV/atom. For the total DFT energy (no corrections), the calculation gives -1.967 eV per atom.

Unit cell a=4.7725 b=10.5648 c=10.5648 alpha=49.00 beta=76.85 gamma=76.85
Sites, in units of the cell vectors:
Li 0.1025 0.8981 0.8981
Li 0.1889 0.5460 0.0752
Li 0.1889 0.0752 0.5460
Li 0.5828 0.6277 0.2065
Li 0.5828 0.2065 0.6277
Li 0.0821 0.4172 0.4172
Li 0.9179 0.5828 0.5828
Li 0.4172 0.3723 0.7935
Li 0.4172 0.7935 0.3723
Li 0.8111 0.4540 0.9248
Li 0.8111 0.9248 0.4540
Li 0.8975 0.1019 0.1019
Mg 0.3122 0.1869 0.1869
Mg 0.7064 0.2925 0.2925
Mg 0.5000 0.0000 0.0000
Mg 0.2936 0.7075 0.7075
Mg 0.6878 0.8131 0.8131
Tl 0.0000 0.2293 0.7707
Tl 0.0000 0.7707 0.2293